Sr2ThHg: optimized geometry, PBE-GGA.

Unit cell a=12.666 b=12.666 c=12.666 alpha=16.91 beta=16.91 gamma=16.91
Positions (direct):
Sr  0.098  0.098  0.098
Sr  0.902  0.902  0.902
Th  0.000  0.000  0.000
Hg  0.500  0.500  0.500

Output
Density of states at the Fermi level = 5.370 states/eV/cell
ΔE_f = 200.6 meV per atom
Symmetry = No. 166
Size of the total moment = 0.00 μB/cell